No. 1
Below is SiAsAuBr2 after structural relaxation, with properties calculated at the PBE-GGA level.

The theoretical density is 6.10 g/cm³.

It has space group P4/mmm (No. 123), with a = 4.892 Å, b = 4.892 Å, c = 5.230 Å, α = 90.00°, β = 90.00° and γ = 90.00°. The distinct sites, in fractional coordinates, are Si at (0.000, 0.000, 0.000), As at (0.000, 0.000, 0.500), Au at (0.500, 0.500, 0.500) and Br at (0.000, 0.500, 0.000).

No. 2
Below is SnAs2AuBr after structural relaxation, with properties calculated at the PBE-GGA level.

The theoretical density is 6.58 g/cm³.

It has space group P4/mmm (No. 123), with a = 5.075 Å, b = 5.075 Å, c = 5.342 Å, α = 90.00°, β = 90.00° and γ = 90.00°. The distinct sites, in fractional coordinates, are Sn at (0.000, 0.000, 0.000), As at (0.000, 0.500, 0.500), Au at (0.500, 0.500, 0.500) and Br at (0.500, 0.500, 0.000).

No. 3
Below is SnAsAuBr2 after structural relaxation, with properties calculated at the PBE-GGA level.

The theoretical density is 6.38 g/cm³.

It has space group P4/mmm (No. 123), with a = 5.230 Å, b = 5.230 Å, c = 5.238 Å, α = 90.00°, β = 90.00° and γ = 90.00°. The distinct sites, in fractional coordinates, are Sn at (0.000, 0.000, 0.000), As at (0.500, 0.500, 0.000), Au at (0.500, 0.500, 0.500) and Br at (0.000, 0.500, 0.500).

No. 4
Below is SrAsAuBr2 after structural relaxation, with properties calculated at the PBE-GGA level.

The theoretical density is 5.68 g/cm³.

It has space group P4/mmm (No. 123), with a = 5.432 Å, b = 5.432 Å, c = 5.141 Å, α = 90.00°, β = 90.00° and γ = 90.00°. The distinct sites, in fractional coordinates, are Sr at (0.000, 0.000, 0.000), As at (0.500, 0.500, 0.000), Au at (0.500, 0.500, 0.500) and Br at (0.000, 0.500, 0.500).

No. 5
Below is SrAs2AuBr after structural relaxation, with properties calculated at the PBE-GGA level.

The theoretical density is 4.23 g/cm³.

It has space group P4/mmm (No. 123), with a = 5.976 Å, b = 5.976 Å, c = 5.659 Å, α = 90.00°, β = 90.00° and γ = 90.00°. The distinct sites, in fractional coordinates, are Sr at (0.000, 0.000, 0.000), As at (0.000, 0.500, 0.000), Au at (0.500, 0.500, 0.500) and Br at (0.000, 0.000, 0.500).

No. 6
Below is SrAsAuBr2 after structural relaxation, with properties calculated at the PBE-GGA level.

The theoretical density is 3.68 g/cm³.

It has space group P4/mmm (No. 123), with a = 5.725 Å, b = 5.725 Å, c = 7.147 Å, α = 90.00°, β = 90.00° and γ = 90.00°. The distinct sites, in fractional coordinates, are Sr at (0.000, 0.000, 0.000), As at (0.000, 0.000, 0.500), Au at (0.500, 0.500, 0.500) and Br at (0.000, 0.500, 0.000).

No. 7
Below is SrAs2AuBr after structural relaxation, with properties calculated at the PBE-GGA level.

The theoretical density is 5.49 g/cm³.

It has space group P4/mmm (No. 123), with a = 4.925 Å, b = 4.925 Å, c = 6.418 Å, α = 90.00°, β = 90.00° and γ = 90.00°. The distinct sites, in fractional coordinates, are Sr at (0.000, 0.000, 0.000), As at (0.000, 0.500, 0.500), Au at (0.500, 0.500, 0.500) and Br at (0.500, 0.500, 0.000).

No. 8
Below is TcAs2AuBr after structural relaxation, with properties calculated at the PBE-GGA level.

The theoretical density is 7.28 g/cm³.

It has space group P4/mmm (No. 123), with a = 4.731 Å, b = 4.731 Å, c = 5.345 Å, α = 90.00°, β = 90.00° and γ = 90.00°. The distinct sites, in fractional coordinates, are Tc at (0.000, 0.000, 0.000), As at (0.000, 0.500, 0.000), Au at (0.500, 0.500, 0.500) and Br at (0.000, 0.000, 0.500).

The uncorrected formation energy results, record by record, are as follows: 0.51; 0.53; 0.29; -0.44; 0.66; -0.03; -0.19; 0.55 eV per atom.